1.
DFT (PBE-GGA) results for an optimized crystal structure of CaZn3Cd.

Lattice parameters (Å, degrees): 6.624 10.544 6.056 90.00 90.00 90.00
Space group Cmcm (No. 63)
Symmetry-distinct sites (fractional):
Ca1 0.000 0.238 0.250 (multiplicity 4)
Zn1 0.000 0.346 0.750 (multiplicity 4)
Zn2 0.194 0.500 0.000 (multiplicity 8)
Cd1 0.000 0.095 0.750 (multiplicity 4)

Computed properties:
Crystal system: orthorhombic
Relative energy among the computed polymorphs in meV/atom: 17

2.
DFT (PBE-GGA) results for an optimized crystal structure of CaZr2ZnCd.

Lattice parameters (Å, degrees): 5.131 5.131 5.049 90.00 90.00 90.00
Space group P4/mmm (No. 123)
Symmetry-distinct sites (fractional):
Ca1 0.000 0.000 0.000 (multiplicity 1)
Zr1 0.000 0.500 0.500 (multiplicity 2)
Zn1 0.500 0.500 0.500 (multiplicity 1)
Cd1 0.500 0.500 0.000 (multiplicity 1)

Computed properties:
E in eV for the cell shown: -19.1
Crystal system: tetragonal